1.
{
  "formula": "Tc2PdF",
  "functional": "GGA-PBE",
  "state": "optimized geometry",
  "e_above_lowest_polymorph_ev_per_atom": 0.0036,
  "crystal_system": "tetragonal",
  "m_tot_mub_per_cell": 0.00,
  "lattice_angstrom": [[-1.552, -3.612, -5.342], [0.664, -5.555, 3.563], [-2.905, -4.469, -0.252]],
  "species": ["Tc", "F", "Pd", "Tc", "F", "Tc", "Pd", "Tc"],
  "frac_coords": [[0.875, 0.820, 0.750], [0.500, 0.500, 0.000], [0.000, 0.000, 0.000], [0.375, 0.430, 0.750], [0.250, 0.750, 0.500], [0.180, 0.625, 0.250], [0.750, 0.250, 0.500], [0.570, 0.125, 0.250]]
}



2.
{
  "formula": "TcPdF",
  "functional": "GGA-PBE",
  "state": "optimized geometry",
  "crystal_system": "monoclinic",
  "m_tot_mub_per_cell": 0.00,
  "final_energy_ev_per_atom": -6.223,
  "lattice_angstrom": [[-1.523, 1.171, -2.234], [-3.197, 0.218, 2.294], [3.695, 6.908, 1.116]],
  "species": ["Pd", "Tc", "F", "Tc", "Pd", "F"],
  "frac_coords": [[0.251, 0.130, 0.760], [0.750, 0.560, 0.619], [0.249, 0.303, 0.108], [0.250, 0.440, 0.381], [0.749, 0.870, 0.240], [0.751, 0.697, 0.892]]
}



3.
{
  "formula": "TcPdF3",
  "functional": "GGA-PBE",
  "state": "optimized geometry",
  "e_above_lowest_polymorph_ev_per_atom": 0.0000,
  "crystal_system": "cubic",
  "m_tot_mub_per_cell": 3.63,
  "lattice_angstrom": [[-1.694, 2.696, -2.760], [1.928, -2.019, -3.156], [-3.342, -2.532, -0.422]],
  "species": ["F", "F", "Tc", "Pd", "F"],
  "frac_coords": [[0.000, 0.500, 0.000], [0.000, 0.000, 0.500], [0.000, 0.000, 0.000], [0.500, 0.500, 0.500], [0.500, 0.000, 0.000]]
}



4.
{
  "formula": "TlTc2PdF",
  "functional": "GGA-PBE",
  "state": "optimized geometry",
  "crystal_system": "tetragonal",
  "m_tot_mub_per_cell": 5.97,
  "final_energy_ev_per_atom": -5.017,
  "lattice_angstrom": [[-1.935, -0.370, 4.655], [3.696, -0.333, 1.510], [0.248, 5.023, 0.502]],
  "species": ["Tl", "Tc", "F", "Tc", "Pd"],
  "frac_coords": [[0.500, 0.500, 0.500], [0.500, 0.000, 0.000], [0.000, 0.500, 0.000], [0.000, 0.000, 0.500], [0.000, 0.000, 0.000]]
}



5.
{
  "formula": "Tl2TcPdF",
  "functional": "GGA-PBE",
  "state": "optimized geometry",
  "crystal_system": "tetragonal",
  "m_tot_mub_per_cell": 4.57,
  "final_energy_ev_per_atom": -4.066,
  "lattice_angstrom": [[-0.619, 4.098, 3.331], [-3.532, -2.665, 2.622], [3.815, -1.972, 3.134]],
  "species": ["Tl", "Pd", "Tc", "F", "Tl"],
  "frac_coords": [[0.500, 0.000, 0.000], [0.000, 0.000, 0.000], [0.000, 0.500, 0.000], [0.500, 0.500, 0.500], [0.000, 0.000, 0.500]]
}



6.
{
  "formula": "ZnTc2PdF",
  "functional": "GGA-PBE",
  "state": "optimized geometry",
  "crystal_system": "tetragonal",
  "m_tot_mub_per_cell": 7.37,
  "final_energy_ev_per_atom": -4.504,
  "lattice_angstrom": [[-3.891, -1.507, 2.485], [-1.022, -2.942, -3.384], [2.698, -3.415, 2.154]],
  "species": ["Pd", "Zn", "Tc", "Tc", "F"],
  "frac_coords": [[0.000, 0.500, 0.000], [0.000, 0.000, 0.000], [0.500, 0.000, 0.000], [0.000, 0.000, 0.500], [0.500, 0.500, 0.500]]
}



7.
{
  "formula": "Te2Pd4F",
  "functional": "GGA-PBE",
  "state": "optimized geometry",
  "crystal_system": "tetragonal",
  "m_tot_mub_per_cell": 0.00,
  "final_energy_ev_per_atom": -4.527,
  "lattice_angstrom": [[-3.392, -6.302, -0.868], [4.586, -0.430, -5.547], [3.094, 0.936, 6.444]],
  "species": ["Te", "F", "Pd", "Pd", "Te", "Pd", "Pd", "Te", "Pd", "Te", "Pd", "F", "Pd", "Pd"],
  "frac_coords": [[0.674, 0.875, 0.299], [0.250, 0.750, 0.500], [0.284, 0.586, 0.164], [0.828, 0.164, 0.199], [0.625, 0.424, 0.299], [0.423, 0.120, 0.836], [0.371, 0.034, 0.198], [0.576, 0.375, 0.701], [0.966, 0.629, 0.802], [0.125, 0.326, 0.701], [0.836, 0.172, 0.802], [0.000, 0.000, 0.000], [0.414, 0.716, 0.836], [0.879, 0.578, 0.163]]
}



8.
{
  "formula": "Te3PdF",
  "functional": "GGA-PBE",
  "state": "optimized geometry",
  "e_above_lowest_polymorph_ev_per_atom": 0.7005,
  "crystal_system": "cubic",
  "m_tot_mub_per_cell": 0.00,
  "lattice_angstrom": [[5.211, 0.000, 0.000], [0.000, 5.211, 0.000], [0.000, 0.000, 5.211]],
  "species": ["F", "Te", "Pd", "Te", "Te"],
  "frac_coords": [[0.500, 0.500, 0.500], [0.000, 0.500, 0.000], [0.000, 0.000, 0.000], [0.000, 0.000, 0.500], [0.500, 0.000, 0.000]]
}



9.
{
  "formula": "Te2PdF",
  "functional": "GGA-PBE",
  "state": "optimized geometry",
  "e_above_lowest_polymorph_ev_per_atom": 0.1310,
  "crystal_system": "cubic",
  "m_tot_mub_per_cell": 0.00,
  "lattice_angstrom": [[-3.149, -3.513, 0.226], [-3.961, 0.537, 2.515], [-4.158, 0.411, -2.202]],
  "species": ["Te", "Te", "Pd", "F"],
  "frac_coords": [[0.250, 0.250, 0.250], [0.750, 0.750, 0.750], [0.500, 0.500, 0.500], [0.000, 0.000, 0.000]]
}



10.
{
  "formula": "Te2PdF",
  "functional": "GGA-PBE",
  "state": "optimized geometry",
  "e_above_lowest_polymorph_ev_per_atom": 0.0000,
  "crystal_system": "triclinic",
  "m_tot_mub_per_cell": 0.00,
  "lattice_angstrom": [[4.363, -0.034, 0.130], [2.161, 3.311, 0.486], [0.181, 0.795, 7.172]],
  "species": ["Pd", "Te", "F", "Te"],
  "frac_coords": [[0.672, 0.149, 0.408], [0.349, 0.767, 0.593], [0.699, 0.956, 0.961], [0.974, 0.554, 0.218]]
}



11.
{
  "formula": "Te2PdF",
  "functional": "GGA-PBE",
  "state": "optimized geometry",
  "e_above_lowest_polymorph_ev_per_atom": 0.3751,
  "crystal_system": "tetragonal",
  "m_tot_mub_per_cell": 0.00,
  "lattice_angstrom": [[4.585, 0.000, 0.000], [0.000, 4.585, 0.000], [2.293, 2.293, 8.581]],
  "species": ["Te", "Pd", "Te", "Te", "F", "F", "Te", "Pd"],
  "frac_coords": [[0.648, 0.125, 0.250], [0.000, 0.000, 0.000], [0.375, 0.352, 0.750], [0.102, 0.625, 0.250], [0.500, 0.500, 0.000], [0.250, 0.750, 0.500], [0.875, 0.898, 0.750], [0.750, 0.250, 0.500]]
}



12.
{
  "formula": "TePd3F",
  "functional": "GGA-PBE",
  "state": "optimized geometry",
  "e_above_lowest_polymorph_ev_per_atom": 0.0000,
  "crystal_system": "cubic",
  "m_tot_mub_per_cell": 0.00,
  "lattice_angstrom": [[-0.283, 3.157, -3.125], [1.096, -2.985, -3.115], [-4.304, -0.967, -0.588]],
  "species": ["Pd", "Pd", "Te", "Pd", "F"],
  "frac_coords": [[0.000, 0.000, 0.500], [0.000, 0.500, 0.000], [0.500, 0.500, 0.500], [0.500, 0.000, 0.000], [0.000, 0.000, 0.000]]
}



13.
{
  "formula": "Te2PdF",
  "functional": "GGA-PBE",
  "state": "optimized geometry",
  "e_above_lowest_polymorph_ev_per_atom": 0.0464,
  "crystal_system": "trigonal",
  "m_tot_mub_per_cell": 0.00,
  "lattice_angstrom": [[7.629, -0.005, -0.003], [6.501, 3.992, -0.003], [6.501, 1.834, 3.545]],
  "species": ["Te", "Pd", "Te", "F"],
  "frac_coords": [[0.893, 0.893, 0.893], [0.500, 0.500, 0.500], [0.107, 0.107, 0.107], [0.000, 0.000, 0.000]]
}